{"formula": "V2OF8", "functional": "GGA+U", "state": "optimized geometry", "polymorph_energy_ev_per_atom": 0.041, "mass_density_g_cm3": 2.22, "e_tot_ev_per_atom": -5.509, "n_ef_per_ev_fu": 0.00, "lattice_angstrom": [[5.300, 0.297, 0.878], [0.980, 5.954, 3.077], [0.688, 0.367, 6.728]], "species": ["V", "V", "O", "F", "F", "F", "F", "F", "F", "F", "F"], "fractional_positions": [[0.261, 0.864, 0.864], [0.739, 0.136, 0.136], [0.000, 0.000, 0.000], [0.729, 0.870, 0.405], [0.271, 0.595, 0.130], [0.583, 0.871, 0.871], [0.417, 0.129, 0.129], [0.729, 0.405, 0.870], [0.271, 0.130, 0.595], [0.181, 0.731, 0.731], [0.819, 0.269, 0.269]]}